DFT (PBE) results for a relaxed structure of Pm3Sm2HoAs6.

Computed properties:
Crystal system   monoclinic
V   26.3 A^3/atom
Energy of formation from the pure elements   -18.3 eV/f.u.

Cell: 4.2102 8.4137 9.4072 Å, 102.92 102.93 90.00°
Closest atoms and distances in Å follow each position.
Atoms (fractional coordinates):
1 Ho 0.5000 0.0000 0.0000  6 As 2.94
2 Pm 0.5000 0.5000 0.0000  6 As 2.98-3.01
3 As 0.0000 0.7559 0.0000  2 Ho 2.94, 1 Sm 2.96, 3 Pm 2.98-3.01
4 As 0.3330 0.4176 0.6660  3 Sm 2.97-2.98, 3 Pm 2.98
5 Sm 0.8339 0.6677 0.6679  6 As 2.96-2.98
6 As 0.0000 0.2441 0.0000  2 Ho 2.94, 1 Sm 2.96, 3 Pm 2.98-3.01
7 As 0.3355 0.9172 0.6711  1 Ho 2.94, 2 Sm 2.97, 3 Pm 2.98-3.01
8 As 0.6670 0.5824 0.3340  3 Sm 2.97-2.98, 3 Pm 2.98
9 Pm 0.1670 0.8337 0.3339  6 As 2.98-3.01
10 As 0.6645 0.0828 0.3289  1 Ho 2.94, 2 Sm 2.97, 3 Pm 2.98-3.01
11 Pm 0.8330 0.1663 0.6661  6 As 2.98-3.01
12 Sm 0.1661 0.3323 0.3321  6 As 2.96-2.98